# 1
PBE PmCo2GeN, relaxed; E = -7.064 eV/atom; space group = Cmcm, No. 63; total magnetization = 2.04 Bohr magnetons per cell; volume = 140.7 Å³/cell
1.0
3.708 0.000 0.000
-1.854 5.479 0.000
0.000 0.000 6.927
Co Ge N Pm
4 2 2 2
direct
0.839 0.678 0.054 Co
0.839 0.678 0.446 Co
0.161 0.322 0.554 Co
0.161 0.322 0.946 Co
0.270 0.540 0.250 Ge
0.730 0.460 0.750 Ge
0.000 0.000 0.000 N
0.000 0.000 0.500 N
0.545 0.089 0.250 Pm
0.455 0.911 0.750 Pm

# 2
PBE Ba2Sn5Hg3, relaxed; energy of formation = -371 meV per atom; E above lowest polymorph = 0 meV/atom; space group = Ibam, No. 72; total magnetization = 0.00 Bohr magnetons per cell; volume = 624.9 Å³/cell
1.0
-3.783 6.237 0.667
-8.899 -1.568 4.410
0.281 3.461 9.436
Sn Hg Ba
10 6 4
direct
0.250 0.500 0.500 Sn
0.876 0.001 0.248 Sn
0.493 0.257 0.257 Sn
0.507 0.743 0.743 Sn
0.993 0.257 0.257 Sn
0.376 0.248 0.001 Sn
0.624 0.752 0.999 Sn
0.007 0.743 0.743 Sn
0.750 0.500 0.500 Sn
0.124 0.999 0.752 Sn
0.877 0.756 0.490 Hg
0.623 0.510 0.244 Hg
0.250 0.000 0.000 Hg
0.377 0.490 0.756 Hg
0.123 0.244 0.510 Hg
0.750 0.000 0.000 Hg
0.622 0.119 0.637 Ba
0.122 0.637 0.119 Ba
0.378 0.881 0.363 Ba
0.878 0.363 0.881 Ba

# 3
PBE SrAgHPb2, relaxed; E = -3.071 eV/atom; space group = P4/mmm, No. 123; total magnetization = 0.00 Bohr magnetons per cell; volume = 119.9 Å³/cell
1.0
5.341 0.000 0.000
0.000 4.203 0.000
0.000 0.000 5.341
Sr Ag H Pb
1 1 1 2
direct
0.500 0.500 0.500 Sr
0.000 0.500 0.000 Ag
0.000 0.000 0.000 H
0.000 0.000 0.500 Pb
0.500 0.000 0.000 Pb

# 4
PBE CaGeP2S8, relaxed; E = -4.613 eV/atom; space group = P-3, No. 147; total magnetization = 0.00 Bohr magnetons per cell; volume = 259.0 Å³/cell
1.0
-1.919 4.946 -2.616
-3.854 -4.209 1.558
-0.933 3.686 7.653
S Ca P Ge
8 1 2 1
direct
0.315 0.998 0.687 S
0.002 0.317 0.687 S
0.998 0.683 0.313 S
0.685 0.002 0.313 S
0.333 0.667 0.981 S
0.667 0.333 0.019 S
0.317 0.315 0.313 S
0.683 0.685 0.687 S
0.000 0.000 0.000 Ca
0.667 0.333 0.253 P
0.333 0.667 0.747 P
0.000 0.000 0.500 Ge

# 5
PBE CsK2ZnBi, relaxed; energy of formation = -80 meV per atom; space group = P4/mmm, No. 123; total magnetization = 0.73 Bohr magnetons per cell; volume = 243.5 Å³/cell
1.0
6.532 0.000 0.000
0.000 6.532 0.000
0.000 0.000 5.708
Cs K Bi Zn
1 2 1 1
direct
0.500 0.500 0.500 Cs
0.000 0.500 0.000 K
0.500 0.000 0.000 K
0.000 0.000 0.500 Bi
0.000 0.000 0.000 Zn

# 6
PBE MnMoHOs, relaxed; E above lowest polymorph = 95 meV/atom; space group = P1, No. 1; total magnetization = 1.72 Bohr magnetons per cell; volume = 45.2 Å³/cell
1.0
-1.458 1.180 -2.029
-3.042 0.460 2.452
-0.723 4.533 1.288
Mn Os Mo H
1 1 1 1
direct
0.675 0.048 0.454 Mn
0.351 0.791 0.103 Os
0.000 0.422 0.804 Mo
0.185 0.324 0.434 H